A plane-wave DFT calculation with PBE was carried out for a relaxed TaGaIN2 crystal.

Geometry as CIF:
```
data_TaGaIN2
_chemical_formula_sum 'Ta1 Ga1 I1 N2'
_symmetry_space_group_name_H-M 'P 1'
_symmetry_Int_Tables_number 1
_cell_length_a 3.973
_cell_length_b 3.973
_cell_length_c 5.293
_cell_angle_alpha 90.00
_cell_angle_beta 90.00
_cell_angle_gamma 90.00
loop_
_symmetry_equiv_pos_as_xyz
'x,y,z'
loop_
_atom_site_label
_atom_site_type_symbol
_atom_site_fract_x
_atom_site_fract_y
_atom_site_fract_z
Ga1 Ga 0.000 0.000 0.000
N1 N 0.500 0.000 0.000
Ta1 Ta 0.500 0.500 0.500
N2 N 0.000 0.500 0.000
I1 I 0.000 0.000 0.500
```

energy relative to the elements, uncorrected	8.88	eV/f.u.
offset from the most stable computed form	1474.6	meV/atom

---

A plane-wave DFT calculation with PBE was carried out for a relaxed Er2Tm5Th5 crystal.

Geometry as CIF:
```
data_Er2Tm5Th5
_chemical_formula_sum 'Er2 Tm5 Th5'
_symmetry_space_group_name_H-M 'P 1'
_symmetry_Int_Tables_number 1
_cell_length_a 4.995
_cell_length_b 7.877
_cell_length_c 10.642
_cell_angle_alpha 72.79
_cell_angle_beta 76.43
_cell_angle_gamma 71.52
loop_
_symmetry_equiv_pos_as_xyz
'x,y,z'
loop_
_atom_site_label
_atom_site_type_symbol
_atom_site_fract_x
_atom_site_fract_y
_atom_site_fract_z
Th1 Th 0.000 0.000 0.000
Th2 Th 0.169 0.166 0.497
Tm1 Tm 0.500 0.500 0.500
Tm2 Tm 0.668 0.667 0.996
Tm3 Tm 0.332 0.333 0.004
Tm4 Tm 0.416 0.919 0.248
Er1 Er 0.917 0.415 0.751
Tm5 Tm 0.584 0.081 0.752
Th3 Th 0.831 0.834 0.503
Er2 Er 0.083 0.585 0.249
Th4 Th 0.750 0.248 0.252
Th5 Th 0.250 0.752 0.748
```

formation energy	0.95	kcal/mol of atoms

---

A plane-wave DFT calculation with PBE was carried out for a relaxed Tm4Te2Rh crystal.

Geometry as CIF:
```
data_Tm4Te2Rh
_chemical_formula_sum 'Tm8 Te4 Rh2'
_symmetry_space_group_name_H-M 'P 1'
_symmetry_Int_Tables_number 1
_cell_length_a 4.184
_cell_length_b 7.802
_cell_length_c 12.267
_cell_angle_alpha 90.00
_cell_angle_beta 90.00
_cell_angle_gamma 90.00
loop_
_symmetry_equiv_pos_as_xyz
'x,y,z'
loop_
_atom_site_label
_atom_site_type_symbol
_atom_site_fract_x
_atom_site_fract_y
_atom_site_fract_z
Tm1 Tm 0.500 0.202 0.445
Tm2 Tm 0.000 0.361 0.198
Rh1 Rh 0.000 0.500 0.000
Tm3 Tm 0.500 0.702 0.055
Te1 Te 0.500 0.433 0.666
Tm4 Tm 0.000 0.861 0.302
Tm5 Tm 0.500 0.798 0.555
Tm6 Tm 0.000 0.639 0.802
Te2 Te 0.500 0.567 0.334
Tm7 Tm 0.500 0.298 0.945
Te3 Te 0.500 0.067 0.166
Rh2 Rh 0.000 0.000 0.500
Tm8 Tm 0.000 0.139 0.698
Te4 Te 0.500 0.933 0.834
```

energy relative to the elements, uncorrected	-6.79	eV/f.u.

---

A plane-wave DFT calculation with PBE was carried out for a relaxed KRb2PdBr6 crystal.

Geometry as CIF:
```
data_KRb2PdBr6
_chemical_formula_sum 'K1 Rb2 Pd1 Br6'
_symmetry_space_group_name_H-M 'P 1'
_symmetry_Int_Tables_number 1
_cell_length_a 8.089
_cell_length_b 8.089
_cell_length_c 8.025
_cell_angle_alpha 59.74
_cell_angle_beta 59.74
_cell_angle_gamma 90.00
loop_
_symmetry_equiv_pos_as_xyz
'x,y,z'
loop_
_atom_site_label
_atom_site_type_symbol
_atom_site_fract_x
_atom_site_fract_y
_atom_site_fract_z
Br1 Br 0.228 0.228 0.000
Br2 Br 0.228 0.772 0.000
Rb1 Rb 0.750 0.250 0.500
Br3 Br 0.777 0.777 0.447
Br4 Br 0.772 0.772 0.000
Rb2 Rb 0.250 0.750 0.500
K1 K 0.500 0.500 0.000
Br5 Br 0.223 0.223 0.553
Pd1 Pd 0.000 0.000 0.000
Br6 Br 0.772 0.228 0.000
```

energy relative to the elements, uncorrected	-10.93	eV/f.u.
offset from the most stable computed form	29.5	meV/atom

---

A plane-wave DFT calculation with PBE was carried out for a relaxed Nd2TlPd crystal.

Geometry as CIF:
```
data_Nd2TlPd
_chemical_formula_sum 'Nd2 Tl1 Pd1'
_symmetry_space_group_name_H-M 'P 1'
_symmetry_Int_Tables_number 1
_cell_length_a 4.088
_cell_length_b 4.088
_cell_length_c 8.731
_cell_angle_alpha 76.46
_cell_angle_beta 76.46
_cell_angle_gamma 60.00
loop_
_symmetry_equiv_pos_as_xyz
'x,y,z'
loop_
_atom_site_label
_atom_site_type_symbol
_atom_site_fract_x
_atom_site_fract_y
_atom_site_fract_z
Pd1 Pd 0.666 0.666 0.001
Tl1 Tl 0.500 0.500 0.500
Nd1 Nd 0.069 0.069 0.794
Nd2 Nd 0.265 0.265 0.205
```

formation energy	-9.68	kcal/mol of atoms

---

A plane-wave DFT calculation with PBE was carried out for a relaxed Dy5Cd2Rh2 crystal.

Geometry as CIF:
```
data_Dy5Cd2Rh2
_chemical_formula_sum 'Dy10 Cd4 Rh4'
_symmetry_space_group_name_H-M 'P 1'
_symmetry_Int_Tables_number 1
_cell_length_a 7.639
_cell_length_b 7.450
_cell_length_c 8.881
_cell_angle_alpha 114.80
_cell_angle_beta 90.00
_cell_angle_gamma 90.00
loop_
_symmetry_equiv_pos_as_xyz
'x,y,z'
loop_
_atom_site_label
_atom_site_type_symbol
_atom_site_fract_x
_atom_site_fract_y
_atom_site_fract_z
Dy1 Dy 0.173 0.447 0.239
Rh1 Rh 0.866 0.368 0.000
Dy2 Dy 0.327 0.708 0.761
Rh2 Rh 0.134 0.632 0.000
Dy3 Dy 0.673 0.292 0.239
Rh3 Rh 0.634 0.868 0.000
Dy4 Dy 0.827 0.792 0.239
Dy5 Dy 0.173 0.208 0.761
Dy6 Dy 0.673 0.053 0.761
Cd1 Cd 0.500 0.282 0.564
Dy7 Dy 0.000 0.000 0.000
Cd2 Cd 0.000 0.218 0.436
Dy8 Dy 0.327 0.947 0.239
Dy9 Dy 0.827 0.553 0.761
Dy10 Dy 0.500 0.500 0.000
Cd3 Cd 0.500 0.718 0.436
Rh4 Rh 0.366 0.132 0.000
Cd4 Cd 0.000 0.782 0.564
```

formation energy	-12.30	kcal/mol of atoms

---

no.,final energy (eV per cell)
1,-24.20
2,-68.09
3,-76.62
4,-29.19
5,-18.77
6,-88.69